# 1
Fe2TcPd after structural relaxation, computed with PBE-GGA.

a b c (Å): 6.6339 6.6339 5.3767
angles (deg): 51.91 51.91 90.00
Site moments in Bohr magnetons follow the coordinates.
Fractional positions:
Pd: 0.0000 0.0000 0.0000  0.02
Pd: 0.7500 0.2500 0.5000  0.03
Fe: 0.8750 0.8554 0.7500  2.01
Fe: 0.3750 0.3946 0.7500  2.00
Fe: 0.1446 0.6250 0.2500  2.02
Fe: 0.6054 0.1250 0.2500  2.02
Tc: 0.5000 0.5000 0.0000  -0.56
Tc: 0.2500 0.7500 0.5000  -0.55

SG: I-42d, No. 122
Crystal system: tetragonal
ΔE_f in eV/atom: 0.646
Density of states at the Fermi level in states/eV/atom: 1.33


# 2
AlPCl3 after structural relaxation, computed with PBE-GGA.

a b c (Å): 4.8413 4.8413 4.8413
angles (deg): 90.00 90.00 90.00
Site moments in Bohr magnetons follow the coordinates.
Fractional positions:
Cl: 0.0000 0.5000 0.0000  0.03
Cl: 0.0000 0.0000 0.5000  0.07
Al: 0.0000 0.0000 0.0000  0.01
Cl: 0.5000 0.0000 0.0000  0.05
P: 0.5000 0.5000 0.5000  1.13

SG: Pm-3m, No. 221
Formation energy from raw total energies in eV/atom: -0.175
Crystal system: cubic
Excess energy over the best structure of this formula in the dataset in eV/f.u.: 0.00
Density of states at the Fermi level in states/eV/atom: 0.68


# 3
Mn3Br after structural relaxation, computed with PBE-GGA.

a b c (Å): 5.1559 5.1559 5.1559
angles (deg): 90.00 90.00 90.00
Site moments in Bohr magnetons follow the coordinates.
Fractional positions:
Mn: 0.0000 0.7500 0.5000  3.64
Mn: 0.5000 0.0000 0.2500  3.64
Mn: 0.0000 0.2500 0.5000  3.64
Mn: 0.2500 0.5000 0.0000  3.64
Mn: 0.5000 0.0000 0.7500  3.64
Br: 0.0000 0.0000 0.0000  0.07
Br: 0.5000 0.5000 0.5000  0.07
Mn: 0.7500 0.5000 0.0000  3.64

SG: Pm-3n, No. 223
Formation energy from raw total energies in eV/atom: 0.807
Crystal system: cubic
Excess energy over the best structure of this formula in the dataset in eV/f.u.: 1.89
Density of states at the Fermi level in states/eV/atom: 1.23


# 4
SrUNiSe4 after structural relaxation, computed with PBE-GGA.

a b c (Å): 6.8156 5.9313 8.6001
angles (deg): 90.00 106.63 90.00
Site moments in Bohr magnetons follow the coordinates.
Fractional positions:
Ni: 0.2476 0.7500 0.3330  -0.37
Sr: 0.7413 0.7500 0.9383  -0.01
U: 0.2619 0.2500 0.5583  1.83
Se: 0.9818 0.4905 0.2718  -0.05
Se: 0.4274 0.7500 0.6013  -0.09
Se: 0.9818 0.0095 0.2718  -0.05
U: 0.7381 0.7500 0.4417  1.83
Se: 0.0182 0.5095 0.7282  -0.05
Ni: 0.7524 0.2500 0.6670  -0.37
Se: 0.0182 0.9905 0.7282  -0.05
Sr: 0.2587 0.2500 0.0617  -0.01
Se: 0.4352 0.7500 0.1400  -0.07
Se: 0.5648 0.2500 0.8600  -0.07
Se: 0.5726 0.2500 0.3987  -0.09

SG: P2_1/m, No. 11
Formation energy from raw total energies in eV/atom: -1.128
Crystal system: monoclinic
Density of states at the Fermi level in states/eV/atom: 0.85


# 5
Pr4Ho3ScS8 after structural relaxation, computed with PBE-GGA.

a b c (Å): 7.8467 8.0602 7.8465
angles (deg): 119.13 120.00 90.00
Fractional positions:
S: 0.2378 0.7236 0.4755
Pr: 0.5000 0.0000 0.0000
S: 0.7481 0.7236 0.9859
S: 0.7622 0.2764 0.0141
S: 0.2573 0.2718 0.5146
Pr: 0.0000 0.0000 0.5000
S: 0.7427 0.7282 0.4854
S: 0.2519 0.2764 0.0141
Ho: 0.5000 0.5000 0.5000
S: 0.7622 0.2764 0.5245
Pr: 0.0000 0.0000 0.0000
Pr: 0.5000 0.0000 0.5000
S: 0.2378 0.7236 0.9859
Ho: 0.0000 0.5000 0.5000
Ho: 0.5000 0.5000 0.0000
Sc: 0.0000 0.5000 0.0000

SG: R-3m, No. 166
Formation energy from raw total energies in eV/atom: -1.980
Crystal system: trigonal
Density of states at the Fermi level in states/eV/atom: 0.42


# 6
TiMnZnFe after structural relaxation, computed with PBE-GGA.

a b c (Å): 2.6650 2.6650 7.3724
angles (deg): 90.00 90.00 90.00
Site moments in Bohr magnetons follow the coordinates.
Fractional positions:
Mn: 0.0000 0.0000 0.2512  -1.35
Zn: 0.0000 0.0000 0.8030  -0.04
Fe: 0.5000 0.5000 0.0514  1.52
Ti: 0.5000 0.5000 0.5063  -0.12

SG: P4mm, No. 99
Crystal system: tetragonal
Excess energy over the best structure of this formula in the dataset in eV/f.u.: 0.34
ΔE_f in eV/atom: -0.035
Density of states at the Fermi level in states/eV/atom: 0.77


# 7
ErVOs2 after structural relaxation, computed with PBE-GGA.

a b c (Å): 4.5158 4.5158 4.5156
angles (deg): 60.00 60.00 60.00
Fractional positions:
Er: 0.0000 0.0000 0.0000
Os: 0.7500 0.7500 0.7501
Os: 0.2500 0.2500 0.2499
V: 0.5000 0.5000 0.5000

SG: Fm-3m, No. 225
Crystal system: cubic
Excess energy over the best structure of this formula in the dataset in eV/f.u.: 0.51
ΔE_f in eV/atom: -0.057
Density of states at the Fermi level in states/eV/atom: 0.35


One value per record, in order, for total magnetic moment: 7.013 2.787 22.974 2.417 0.000 0.070 0.000 μB per cell.